(1)
{"formula": "HfZr3Ga3", "functional": "PBE-GGA", "state": "relaxed", "lattice": [[4.0577, 2.3427, 4.9087], [-4.0577, 2.3427, 4.9087], [0.0000, -4.6854, 4.9087]], "species": ["Hf", "Hf", "Zr", "Zr", "Zr", "Zr", "Zr", "Zr", "Ga", "Ga", "Ga", "Ga", "Ga", "Ga"], "frac_coords": [[0.2353, 0.2353, 0.2353], [0.7647, 0.7647, 0.7647], [0.1741, 0.4292, 0.6274], [0.3726, 0.8259, 0.5708], [0.4292, 0.6274, 0.1741], [0.5708, 0.3726, 0.8259], [0.6274, 0.1741, 0.4292], [0.8259, 0.5708, 0.3726], [0.0382, 0.8850, 0.3371], [0.1150, 0.6629, 0.9618], [0.3371, 0.0382, 0.8850], [0.6629, 0.9618, 0.1150], [0.8850, 0.3371, 0.0382], [0.9618, 0.1150, 0.6629]], "crystal_system": "trigonal", "m_tot_mub_per_fu": 0.0, "sg": "R-3 (148)"}

---

(2)
{"formula": "HfZrGa2", "functional": "PBE-GGA", "state": "relaxed", "lattice": [[6.7182, 0.0000, 0.0000], [0.0000, 6.7182, 0.0000], [0.0000, 0.0000, 6.7182]], "species": ["Hf", "Hf", "Hf", "Hf", "Zr", "Zr", "Zr", "Zr", "Ga", "Ga", "Ga", "Ga", "Ga", "Ga", "Ga", "Ga"], "frac_coords": [[0.0000, 0.0000, 0.0000], [0.0000, 0.5000, 0.5000], [0.5000, 0.0000, 0.5000], [0.5000, 0.5000, 0.0000], [0.0000, 0.0000, 0.5000], [0.0000, 0.5000, 0.0000], [0.5000, 0.0000, 0.0000], [0.5000, 0.5000, 0.5000], [0.2500, 0.2500, 0.2500], [0.2500, 0.2500, 0.7500], [0.2500, 0.7500, 0.2500], [0.2500, 0.7500, 0.7500], [0.7500, 0.2500, 0.2500], [0.7500, 0.2500, 0.7500], [0.7500, 0.7500, 0.2500], [0.7500, 0.7500, 0.7500]], "crystal_system": "cubic", "m_tot_mub_per_fu": 0.0, "de_polymorph_ev_per_atom": 0.254, "sg": "Fm-3m (225)"}

---

(3)
{"formula": "HfZr3Ga2", "functional": "PBE-GGA", "state": "relaxed", "lattice": [[4.4067, 0.0000, 0.0000], [0.0000, 14.2267, 0.0000], [0.0000, 0.0000, 3.8506]], "species": ["Hf", "Hf", "Zr", "Zr", "Zr", "Zr", "Zr", "Zr", "Ga", "Ga", "Ga", "Ga"], "frac_coords": [[0.0000, 0.0000, 0.0000], [0.5000, 0.5000, 0.0000], [0.0000, 0.1754, 0.5000], [0.0000, 0.5000, 0.5000], [0.0000, 0.8246, 0.5000], [0.5000, 0.0000, 0.5000], [0.5000, 0.3246, 0.5000], [0.5000, 0.6754, 0.5000], [0.0000, 0.3466, 0.0000], [0.0000, 0.6534, 0.0000], [0.5000, 0.1534, 0.0000], [0.5000, 0.8466, 0.0000]], "crystal_system": "orthorhombic", "m_tot_mub_per_fu": 0.0, "sg": "Cmmm (65)"}

---

no.,calculated formation energy (eV/atom)
1,-0.392
2,-0.320
3,-0.363